## NdBe3H9 (PBE-GGA)

Data for a relaxed NdBe3H9 crystal.

Lattice parameters (Å, degrees): 7.719 10.060 6.764 90.00 90.00 90.00
Space group C222_1 (No. 20)
One atom of each set of equivalent atoms:
Nd 0.145 0.000 0.000
Be 0.016 0.335 0.059
Be 0.249 0.000 0.500
H 0.000 0.402 0.250
H 0.038 0.197 0.063
H 0.123 0.023 0.657
H 0.133 0.366 0.553
H 0.163 0.382 0.949

Values from the calculation:
- electronic total energy (Ha/atom) = -0.137